Compound: Y2ThAl
Source: the Alexandria database
Functional: PBE-GGA
Structure: optimized geometry

Cell: 3.5703 3.5703 10.7478 Å, 80.43 80.43 59.98°
With the nearest neighbours (Å) after each atom.
Sites, in units of the cell vectors:
Th  0.5001  0.5001  0.4991  6 Th 3.57, 6 Y 3.63-3.64
Y  0.0723  0.0723  0.7835  3 Al 3.08
Y  0.2613  0.2613  0.2163  3 Al 3.07
Al  0.6663  0.6663  0.0010  6 Y 3.07-3.08

* ΔE_f: -0.0528 eV/atom
* SG: R3m, No. 160
* crystal system: trigonal